The following is a PBE+U calculation of YMnBrO2 after structural relaxation, from Alexandria.

a b c (Å): 4.525 4.591 4.525
angles (deg): 90.00 90.00 90.00
Last column: magnetic moment on the atom in μB.
Sites, in units of the cell vectors:
Y: 0.500 0.500 0.500  -0.37
Mn: 0.000 0.500 0.000  4.18
O: 0.000 0.000 0.500  0.06
O: 0.500 0.000 0.000  0.04
Br: 0.000 0.000 0.000  0.01

Computed properties:
The calculation puts the energy above the most stable polymorph in this dataset at 1495.9 meV/atom. The space group is P4/mmm (123).